# 1
## ReHg2PbS (GGA-PBE)

Data for ReHg2PbS after structural relaxation.

Output
* Fermi-level density of states: 0.994 states/eV/atom
* M_tot: 2.90 μB per cell
* uncorrected energy: -3.181 eV per atom
* energy relative to the elements, uncorrected: 0.996 eV/atom
* theoretical density: 9.09 g/cm³

Cell and atoms, written as extended XYZ:
```
5
Lattice="5.295 0.000 0.000 0.000 5.295 0.000 0.000 0.000 5.388" Properties=species:S:1:pos:R:3 pbc="T T T"
Re 0.000 0.000 0.000
Hg 0.000 2.648 0.000
Hg 2.648 0.000 0.000
Pb 0.000 0.000 2.694
S 2.648 2.648 2.694
```

# 2
## Re2SiHgPb (GGA-PBE)

Data for Re2SiHgPb after structural relaxation.

Output
* Fermi-level density of states: 0.961 states/eV/atom
* M_tot: 4.35 μB per cell
* uncorrected energy: -4.123 eV per atom
* energy relative to the elements, uncorrected: 2.743 eV/atom
* theoretical density: 9.32 g/cm³

Cell and atoms, written as extended XYZ:
```
5
Lattice="5.155 0.000 0.000 0.000 5.155 0.000 0.000 0.000 5.420" Properties=species:S:1:pos:R:3 pbc="T T T"
Re 0.000 2.578 0.000
Re 2.578 0.000 0.000
Si 0.000 0.000 2.710
Hg 2.578 2.578 2.710
Pb 2.578 2.578 0.000
```

# 3
## ReHg2PbW (GGA-PBE)

Data for ReHg2PbW after structural relaxation.

Output
* Fermi-level density of states: 0.959 states/eV/atom
* ΔH_f (0 K): 1.929 eV per atom
* M_tot: 5.31 μB per cell
* uncorrected energy: -4.014 eV per atom
* theoretical density: 11.27 g/cm³

Cell and atoms, written as extended XYZ:
```
5
Lattice="5.252 0.000 0.000 0.000 5.252 0.000 0.000 0.000 5.228" Properties=species:S:1:pos:R:3 pbc="T T T"
Re 0.000 0.000 0.000
Hg 0.000 2.626 0.000
Hg 2.626 0.000 0.000
Pb 0.000 0.000 2.614
W 2.626 2.626 2.614
```

# 4
## Zn2ReHgPb (GGA-PBE)

Data for Zn2ReHgPb after structural relaxation.

Output
* Fermi-level density of states: 0.567 states/eV/atom
* ΔH_f (0 K): 0.761 eV per atom
* M_tot: 0.00 μB per cell
* uncorrected energy: -3.040 eV per atom
* theoretical density: 9.60 g/cm³

Cell and atoms, written as extended XYZ:
```
5
Lattice="4.899 0.000 0.000 0.000 4.899 0.000 0.000 0.000 5.226" Properties=species:S:1:pos:R:3 pbc="T T T"
Zn 0.000 2.449 0.000
Zn 2.449 0.000 0.000
Re 0.000 0.000 0.000
Hg 0.000 0.000 2.613
Pb 2.449 2.449 2.613
```

# 5
## HgRhPb (GGA-PBE)

Data for HgRhPb after structural relaxation.

Output
* Fermi-level density of states: 0.757 states/eV/atom
* ΔH_f (0 K): 0.170 eV per atom
* M_tot: 0.00 μB per cell
* uncorrected energy: -3.617 eV per atom
* theoretical density: 12.62 g/cm³
* relative energy among the computed polymorphs: 54.1 kJ/mol of formula units

Cell and atoms, written as extended XYZ:
```
3
Lattice="3.382 0.000 0.000 -1.691 2.929 0.000 0.000 0.000 6.787" Properties=species:S:1:pos:R:3 pbc="T T T"
Hg 0.000 0.000 0.000
Rh 0.000 1.953 4.726
Pb 1.691 0.976 2.758
```

# 6
## Hg2RhPb (GGA-PBE)

Data for Hg2RhPb after structural relaxation.

Output
* Fermi-level density of states: 0.913 states/eV/atom
* ΔH_f (0 K): 0.233 eV per atom
* M_tot: 0.00 μB per cell
* uncorrected energy: -2.683 eV per atom
* theoretical density: 13.17 g/cm³

Cell and atoms, written as extended XYZ:
```
4
Lattice="2.858 -5.456 0.000 2.858 5.456 0.000 -1.956 0.000 2.876" Properties=species:S:1:pos:R:3 pbc="T T T"
Hg 1.429 2.728 0.000
Hg 1.429 -2.728 0.000
Rh 0.000 0.000 0.000
Pb 2.858 0.000 0.000
```

# 7
## Hg2RhPb (GGA-PBE)

Data for Hg2RhPb after structural relaxation.

Output
* Fermi-level density of states: 0.328 states/eV/atom
* ΔH_f (0 K): 0.206 eV per atom
* M_tot: 0.00 μB per cell
* uncorrected energy: -2.709 eV per atom
* theoretical density: 13.90 g/cm³

Cell and atoms, written as extended XYZ:
```
4
Lattice="-2.138 2.138 4.648 2.138 -2.138 4.648 2.138 2.138 -4.648" Properties=species:S:1:pos:R:3 pbc="T T T"
Hg 2.138 0.000 2.324
Hg 0.000 2.138 2.324
Rh 0.000 0.000 0.000
Pb 0.000 0.000 4.648
```

# 8
## Hg2RhPb6 (GGA-PBE)

Data for Hg2RhPb6 after structural relaxation.

Output
* Fermi-level density of states: 0.332 states/eV/atom
* ΔH_f (0 K): -0.025 eV per atom
* M_tot: 0.00 μB per cell
* uncorrected energy: -3.382 eV per atom
* theoretical density: 11.51 g/cm³

Cell and atoms, written as extended XYZ:
```
9
Lattice="4.326 0.000 0.000 0.000 7.115 4.096 0.000 -7.115 4.096" Properties=species:S:1:pos:R:3 pbc="T T T"
Hg 0.000 -4.740 4.096
Hg 0.000 4.740 4.096
Rh 2.163 0.000 4.097
Pb 0.000 -1.733 3.097
Pb 0.000 1.733 3.097
Pb 0.000 0.000 6.096
Pb 2.163 0.000 1.142
Pb 2.163 -2.560 5.572
Pb 2.163 2.560 5.572
```